No. 1
Below is LuNb2CuGe2 after structural relaxation, with properties calculated at the PBE level.

Cell lengths 3.946, 3.946, 7.219 Å; angles 90.00, 90.00, 90.00 degrees
Positions (direct):
Ge 0.500 0.500 0.271
Ge 0.000 0.000 0.733
Lu 0.500 0.500 0.644
Cu 0.000 0.000 0.333
Nb 0.500 0.000 0.009
Nb 0.000 0.500 0.009

Values from the calculation:
The total magnetization is 0.00 μB/f.u. The space group is No. 99.

***

No. 2
Below is LuCuNiGe after structural relaxation, with properties calculated at the PBE level.

Cell lengths 4.455, 4.455, 4.455 Å; angles 60.00, 60.00, 60.00 degrees
Positions (direct):
Ni 0.500 0.500 0.500
Ge 0.250 0.250 0.250
Lu 0.000 0.000 0.000
Cu 0.750 0.750 0.750

Values from the calculation:
The total magnetization is 0.00 μB/f.u. The space group is No. 216. For the energy above the lowest structure with this stoichiometry, the calculation gives 0.37 eV per formula unit.

***

Record order is preserved below.
Final energy: -39.486; -19.665 eV/cell
Record order is preserved below.
Calculated volume: 112.4; 62.5 Å³/f.u.